# Be2Fe

A geometry-optimized Be2Fe structure (PBE, OQMD via LeMat-Bulk).

Cell: 6.729 6.729 6.729 Å, 60.00 60.00 60.00°
Element x y z (fractional)
1 Fe 0.000 0.000 0.000
2 Fe 0.750 0.750 0.750
3 Be 0.875 0.375 0.875
4 Be 0.875 0.875 0.875
5 Be 0.375 0.875 0.875
6 Be 0.875 0.875 0.375

Properties
**Space-group type**: Fd-3m, No. 227
**Total moment**: 1.37 μB/f.u.
**E**: -2.999 eV per atom